#1
DFT (PBE-GGA) results for Ba2PbS after structural relaxation.

## Properties
The total moment is 0.0 Bohr magnetons per cell. Its space group is No. 122.

Cell: 8.718 8.718 9.163 Å, 90.00 90.00 90.00°
Element x y z (fractional)
Ba 0.197 0.250 0.125
Ba 0.250 0.697 0.375
Ba 0.250 0.803 0.875
Ba 0.303 0.250 0.625
Ba 0.697 0.750 0.625
Ba 0.750 0.197 0.875
Ba 0.750 0.303 0.375
Ba 0.803 0.750 0.125
Pb 0.000 0.000 0.500
Pb 0.000 0.500 0.750
Pb 0.500 0.000 0.250
Pb 0.500 0.500 0.000
S 0.000 0.000 0.000
S 0.000 0.500 0.250
S 0.500 0.000 0.750
S 0.500 0.500 0.500

#2
DFT (PBE-GGA) results for Ba2PbS after structural relaxation.

## Properties
The total moment is 8.0 Bohr magnetons per cell. Its space group is No. 225.

Cell: 8.325 8.325 8.325 Å, 90.00 90.00 90.00°
Element x y z (fractional)
Ba 0.250 0.250 0.250
Ba 0.250 0.250 0.750
Ba 0.250 0.750 0.250
Ba 0.250 0.750 0.750
Ba 0.750 0.250 0.250
Ba 0.750 0.250 0.750
Ba 0.750 0.750 0.250
Ba 0.750 0.750 0.750
Pb 0.000 0.000 0.000
Pb 0.000 0.500 0.500
Pb 0.500 0.000 0.500
Pb 0.500 0.500 0.000
S 0.000 0.000 0.500
S 0.000 0.500 0.000
S 0.500 0.000 0.000
S 0.500 0.500 0.500

Q: Which of them is the least stable? A: #2.

#1
DFT (PBE-GGA) results for BaSbPb after structural relaxation.

## Properties
The total moment is 0.0 Bohr magnetons per cell. Its space group is No. 8.

Cell: 13.271 4.826 7.270 Å, 90.00 94.33 90.00°
Element x y z (fractional)
Ba 0.000 0.000 0.000
Ba 0.202 0.500 0.628
Ba 0.500 0.500 0.000
Ba 0.702 0.000 0.628
Sb 0.018 0.000 0.492
Sb 0.306 0.000 0.970
Sb 0.518 0.500 0.492
Sb 0.806 0.500 0.970
Pb 0.199 0.500 0.141
Pb 0.375 0.000 0.397
Pb 0.699 0.000 0.141
Pb 0.875 0.500 0.397

#2
DFT (PBE-GGA) results for BaSbPb after structural relaxation.

## Properties
The total moment is 0.0 Bohr magnetons per cell. Its space group is No. 36.

Cell: 4.966 12.643 7.006 Å, 90.00 90.00 90.00°
Element x y z (fractional)
Ba 0.000 0.181 0.000
Ba 0.000 0.819 0.500
Ba 0.500 0.319 0.500
Ba 0.500 0.681 0.000
Sb 0.000 0.117 0.502
Sb 0.000 0.883 0.002
Sb 0.500 0.383 0.002
Sb 0.500 0.617 0.502
Pb 0.000 0.497 0.233
Pb 0.000 0.503 0.733
Pb 0.500 0.003 0.733
Pb 0.500 0.997 0.233

#3
DFT (PBE-GGA) results for BaSbPb after structural relaxation.

## Properties
The total moment is 0.0 Bohr magnetons per cell. Its space group is No. 71.

Cell: 5.226 9.325 9.537 Å, 90.00 90.00 90.00°
Element x y z (fractional)
Ba 0.000 0.000 0.242
Ba 0.000 0.000 0.758
Ba 0.500 0.500 0.258
Ba 0.500 0.500 0.742
Sb 0.000 0.336 0.500
Sb 0.000 0.664 0.500
Sb 0.500 0.164 0.000
Sb 0.500 0.836 0.000
Pb 0.000 0.334 0.000
Pb 0.000 0.666 0.000
Pb 0.500 0.166 0.500
Pb 0.500 0.834 0.500

Q: Which of them is the least stable? A: #3.

#1
DFT (PBE-GGA) results for BaSbPb after structural relaxation.

## Properties
The total moment is 0.0 Bohr magnetons per cell. Its space group is No. 216.

Cell: 7.967 7.967 7.967 Å, 90.00 90.00 90.00°
Element x y z (fractional)
Ba 0.000 0.000 0.000
Ba 0.000 0.500 0.500
Ba 0.500 0.000 0.500
Ba 0.500 0.500 0.000
Sb 0.250 0.250 0.750
Sb 0.250 0.750 0.250
Sb 0.750 0.250 0.250
Sb 0.750 0.750 0.750
Pb 0.000 0.000 0.500
Pb 0.000 0.500 0.000
Pb 0.500 0.000 0.000
Pb 0.500 0.500 0.500

#2
DFT (PBE-GGA) results for BaSbPb after structural relaxation.

## Properties
The total moment is 0.0 Bohr magnetons per cell. Its space group is No. 38.

Cell: 4.696 16.289 5.647 Å, 90.00 90.00 90.00°
Element x y z (fractional)
Ba 0.000 0.164 0.000
Ba 0.000 0.336 0.500
Ba 0.000 0.664 0.500
Ba 0.000 0.836 0.000
Sb 0.500 0.151 0.499
Sb 0.500 0.349 0.999
Sb 0.500 0.651 0.999
Sb 0.500 0.849 0.499
Pb 0.000 0.000 0.545
Pb 0.000 0.500 0.045
Pb 0.500 0.000 0.142
Pb 0.500 0.500 0.642

#3
DFT (PBE-GGA) results for BaSbPb after structural relaxation.

## Properties
The total moment is 0.0 Bohr magnetons per cell. Its space group is No. 8.

Cell: 11.552 5.201 7.669 Å, 90.00 100.95 90.00°
Element x y z (fractional)
Ba 0.000 0.000 0.000
Ba 0.239 0.500 0.363
Ba 0.500 0.500 0.000
Ba 0.739 0.000 0.363
Sb 0.183 0.500 0.819
Sb 0.420 0.000 0.265
Sb 0.683 0.000 0.819
Sb 0.920 0.500 0.265
Pb 0.074 0.000 0.558
Pb 0.411 0.000 0.663
Pb 0.574 0.500 0.558
Pb 0.911 0.500 0.663

#4
DFT (PBE-GGA) results for BaSbPb after structural relaxation.

## Properties
The total moment is 0.0 Bohr magnetons per cell. Its space group is No. 42.

Cell: 9.442 5.068 9.443 Å, 74.42 31.13 74.44°
Element x y z (fractional)
Ba 0.162 0.838 0.162
Ba 0.838 0.162 0.838
Sb 0.367 0.632 0.368
Sb 0.632 0.367 0.633
Pb 0.495 0.975 0.505
Pb 0.975 0.495 0.025

Q: Which of them is the least stable? A: #1.

#1
DFT (PBE-GGA) results for Ba3SbPb after structural relaxation.

## Properties
The total moment is 0.9 Bohr magnetons per cell. Its space group is No. 221.

Cell: 6.588 6.588 6.588 Å, 90.00 90.00 90.00°
Element x y z (fractional)
Ba 0.000 0.000 0.500
Ba 0.000 0.500 0.000
Ba 0.500 0.000 0.000
Sb 0.000 0.000 0.000
Pb 0.500 0.500 0.500

#2
DFT (PBE-GGA) results for Ba3SbPb after structural relaxation.

## Properties
The total moment is 1.7 Bohr magnetons per cell. Its space group is No. 64.

Cell: 12.151 12.151 7.632 Å, 90.00 90.00 118.87°
Element x y z (fractional)
Ba 0.072 0.428 0.750
Ba 0.101 0.899 0.796
Ba 0.209 0.209 0.500
Ba 0.291 0.291 0.000
Ba 0.399 0.601 0.296
Ba 0.428 0.072 0.250
Ba 0.572 0.928 0.750
Ba 0.601 0.399 0.704
Ba 0.709 0.709 0.000
Ba 0.791 0.791 0.500
Ba 0.899 0.101 0.204
Ba 0.928 0.572 0.250
Sb 0.073 0.927 0.258
Sb 0.427 0.573 0.758
Sb 0.573 0.427 0.242
Sb 0.927 0.073 0.742
Pb 0.096 0.404 0.250
Pb 0.404 0.096 0.750
Pb 0.596 0.904 0.250
Pb 0.904 0.596 0.750

#3
DFT (PBE-GGA) results for Ba3SbPb after structural relaxation.

## Properties
The total moment is 0.0 Bohr magnetons per cell. Its space group is No. 14.

Cell: 10.578 9.197 9.700 Å, 90.00 102.53 90.00°
Element x y z (fractional)
Ba 0.075 0.007 0.204
Ba 0.075 0.493 0.704
Ba 0.295 0.630 0.088
Ba 0.295 0.870 0.588
Ba 0.369 0.206 0.967
Ba 0.369 0.294 0.467
Ba 0.631 0.706 0.533
Ba 0.631 0.794 0.033
Ba 0.705 0.130 0.412
Ba 0.705 0.370 0.912
Ba 0.925 0.507 0.296
Ba 0.925 0.993 0.796
Sb 0.414 0.551 0.763
Sb 0.414 0.949 0.263
Sb 0.586 0.051 0.737
Sb 0.586 0.449 0.237
Pb 0.062 0.161 0.540
Pb 0.062 0.339 0.040
Pb 0.938 0.661 0.960
Pb 0.938 0.839 0.460

Q: Which of them is the least stable? A: #1.

#1
DFT (PBE-GGA) results for Ba2Sb2Pb after structural relaxation.

## Properties
The total moment is 0.0 Bohr magnetons per cell. Its space group is No. 127.

Cell: 9.599 9.599 4.193 Å, 90.00 90.00 90.00°
Element x y z (fractional)
Ba 0.131 0.369 0.000
Ba 0.369 0.869 0.000
Ba 0.631 0.131 0.000
Ba 0.869 0.631 0.000
Sb 0.173 0.673 0.500
Sb 0.327 0.173 0.500
Sb 0.673 0.827 0.500
Sb 0.827 0.327 0.500
Pb 0.000 0.000 0.000
Pb 0.500 0.500 0.000

#2
DFT (PBE-GGA) results for Ba2Sb2Pb after structural relaxation.

## Properties
The total moment is 0.0 Bohr magnetons per cell. Its space group is No. 127.

Cell: 8.568 8.568 5.117 Å, 90.00 90.00 90.00°
Element x y z (fractional)
Ba 0.178 0.322 0.000
Ba 0.322 0.822 0.000
Ba 0.678 0.178 0.000
Ba 0.822 0.678 0.000
Sb 0.122 0.622 0.500
Sb 0.378 0.122 0.500
Sb 0.622 0.878 0.500
Sb 0.878 0.378 0.500
Pb 0.000 0.000 0.500
Pb 0.500 0.500 0.500

#3
DFT (PBE-GGA) results for Ba2Sb2Pb after structural relaxation.

## Properties
The total moment is 0.0 Bohr magnetons per cell. Its space group is No. 12.

Cell: 6.967 6.967 13.623 Å, 115.69 115.69 42.73°
Element x y z (fractional)
Ba 0.046 0.046 0.356
Ba 0.189 0.189 0.099
Ba 0.811 0.811 0.901
Ba 0.954 0.954 0.644
Sb 0.373 0.373 0.416
Sb 0.478 0.478 0.100
Sb 0.522 0.522 0.900
Sb 0.627 0.627 0.584
Pb 0.272 0.272 0.693
Pb 0.728 0.728 0.307

#4
DFT (PBE-GGA) results for Ba2Sb2Pb after structural relaxation.

## Properties
The total moment is 0.0 Bohr magnetons per cell. Its space group is No. 14.

Cell: 10.126 9.366 8.926 Å, 90.00 94.14 90.00°
Element x y z (fractional)
Ba 0.093 0.250 0.022
Ba 0.093 0.250 0.522
Ba 0.347 0.680 0.462
Ba 0.347 0.820 0.962
Ba 0.653 0.180 0.038
Ba 0.653 0.320 0.538
Ba 0.907 0.750 0.478
Ba 0.907 0.750 0.978
Sb 0.126 0.568 0.745
Sb 0.126 0.932 0.245
Sb 0.377 0.131 0.750
Sb 0.377 0.369 0.250
Sb 0.623 0.631 0.750
Sb 0.623 0.869 0.250
Sb 0.874 0.068 0.755
Sb 0.874 0.432 0.255
Pb 0.384 0.066 0.368
Pb 0.384 0.434 0.868
Pb 0.616 0.566 0.132
Pb 0.616 0.934 0.632

Q: Which of them is the least stable? A: #1.

#1
DFT (PBE-GGA) results for BaSbPb3 after structural relaxation.

## Properties
The total moment is 0.0 Bohr magnetons per cell. Its space group is No. 221.

Cell: 5.960 5.960 5.960 Å, 90.00 90.00 90.00°
Element x y z (fractional)
Ba 0.000 0.000 0.000
Sb 0.500 0.500 0.500
Pb 0.000 0.500 0.500
Pb 0.500 0.000 0.500
Pb 0.500 0.500 0.000

#2
DFT (PBE-GGA) results for BaSbPb3 after structural relaxation.

## Properties
The total moment is 0.0 Bohr magnetons per cell. Its space group is No. 221.

Cell: 6.258 6.258 6.258 Å, 90.00 90.00 90.00°
Element x y z (fractional)
Ba 0.000 0.000 0.000
Sb 0.500 0.500 0.500
Pb 0.000 0.000 0.500
Pb 0.000 0.500 0.000
Pb 0.500 0.000 0.000

Q: Which of them is the least stable? A: #2.